Entry 1:
A plane-wave DFT calculation with PBE-GGA was carried out for a relaxed structure of InH3Ru.

Results
**Space group**: P2_1/c
**DOS(E_F)**: 6.0 states/eV per cell
**Total magnetization**: 0.00 μB/atom

Cell: 5.5091 5.2433 6.9954 Å, 91.19 90.00 90.00°
Last column: nearest neighbours and their distance in Å.
Sites, in units of the cell vectors:
1 In 0.7547 0.6141 0.4358  1 H 2.12
2 In 0.2453 0.3859 0.5642  1 H 2.12
3 In 0.2547 0.8859 0.0642  1 H 2.12
4 In 0.7453 0.1141 0.9358  1 H 2.12
5 H 0.1176 0.3540 0.1786  2 Ru 1.80-1.82
6 H 0.8824 0.6460 0.8214  2 Ru 1.80-1.82
7 H 0.6176 0.1460 0.3214  2 Ru 1.80-1.82
8 H 0.3824 0.8540 0.6786  2 Ru 1.80-1.82
9 H 0.3637 0.6484 0.2899  1 Ru 1.65
10 H 0.6363 0.3516 0.7101  1 Ru 1.65
11 H 0.8637 0.8516 0.2101  1 Ru 1.65
12 H 0.1363 0.1484 0.7899  1 Ru 1.65
13 H 0.8543 0.0674 0.5638  2 Ru 1.74-1.87
14 H 0.1457 0.9326 0.4362  2 Ru 1.74-1.87
15 H 0.3543 0.4326 0.9362  2 Ru 1.74-1.87
16 H 0.6457 0.5674 0.0638  2 Ru 1.74-1.87
17 Ru 0.4473 0.3751 0.1888  4 H 1.65-1.82
18 Ru 0.5527 0.6249 0.8112  4 H 1.65-1.82
19 Ru 0.9473 0.1249 0.3112  4 H 1.65-1.82
20 Ru 0.0527 0.8751 0.6888  4 H 1.65-1.82

---

Entry 2:
A plane-wave DFT calculation with PBE-GGA was carried out for a relaxed structure of CsPt3N.

Results
**Space group**: Pm-3m
**Formation energy (no corrections)**: 15.233 eV/f.u.
**DOS(E_F)**: 5.2 states/eV per cell
**Total magnetization**: 0.58 μB/atom

Cell: 5.3015 5.3015 5.3015 Å, 90.00 90.00 90.00°
Last column: nearest neighbours and their distance in Å.
Sites, in units of the cell vectors:
1 Cs 0.0000 0.0000 0.0000  6 Pt 2.65
2 Pt 0.0000 0.5000 0.0000  2 Cs 2.65
3 Pt 0.0000 0.0000 0.5000  2 Cs 2.65
4 Pt 0.5000 0.0000 0.0000  2 Cs 2.65
5 N 0.5000 0.5000 0.5000  12 Pt 3.75

---

Entry 3:
A plane-wave DFT calculation with PBE-GGA was carried out for a relaxed structure of CaTlSi2.

Results
**Space group**: F-43m
**Formation energy (no corrections)**: 0.977 eV/f.u.
**DOS(E_F)**: 1.5 states/eV per cell
**Total magnetization**: 0.00 μB/atom

Cell: 5.0523 5.0523 5.0523 Å, 60.00 60.00 60.00°
Last column: nearest neighbours and their distance in Å.
Sites, in units of the cell vectors:
1 Ca 0.5000 0.5000 0.5000  4 Si 3.09, 4 Tl 3.09
2 Si 0.0000 0.0000 0.0000  4 Tl 3.09, 4 Si 3.09
3 Si 0.2500 0.2500 0.2500  4 Ca 3.09, 4 Si 3.09
4 Tl 0.7500 0.7500 0.7500  4 Ca 3.09, 4 Si 3.09

---

Entry 4:
A plane-wave DFT calculation with PBE-GGA was carried out for a relaxed structure of AcZrRh.

Results
**Space group**: Amm2
**DOS(E_F)**: 8.2 states/eV per cell
**Total magnetization**: 0.00 μB/atom
**Energy relative to the elements**: -226 meV/atom

Cell: 5.0121 3.5525 12.0169 Å, 90.00 90.00 134.86°
Last column: nearest neighbours and their distance in Å.
Sites, in units of the cell vectors:
1 Rh 0.6940 0.3879 0.0000  8 Zr 2.88-2.89
2 Rh 0.1950 0.3901 0.5000  8 Ac 3.13-3.14
3 Ac 0.6947 0.3894 0.3435  4 Rh 3.13-3.14
4 Ac 0.6947 0.3894 0.6565  4 Rh 3.13-3.14
5 Zr 0.1941 0.3882 0.8815  1 Zr 2.85, 4 Rh 2.88-2.89
6 Zr 0.1941 0.3882 0.1185  1 Zr 2.85, 4 Rh 2.88-2.89

---

Entry 5:
A plane-wave DFT calculation with PBE-GGA was carried out for a relaxed structure of Pr2YBi.

Results
**Space group**: R3m
**DOS(E_F)**: 5.1 states/eV per cell
**Total magnetization**: 0.24 μB/atom
**Energy relative to the elements**: -199 meV/atom

Cell: 4.1857 4.1857 10.0602 Å, 77.99 77.99 60.00°
Last column: nearest neighbours and their distance in Å.
Sites, in units of the cell vectors:
1 Pr 0.0710 0.0710 0.7870  3 Bi 3.19
2 Pr 0.2625 0.2625 0.2124  3 Bi 3.18-3.19
3 Y 0.4999 0.4999 0.5007  6 Pr 3.70-3.71
4 Bi 0.6667 0.6667 0.9999  6 Pr 3.18-3.19

---

Entry 6:
A plane-wave DFT calculation with PBE-GGA was carried out for a relaxed structure of Rb2HoZrS4.

Results
**Space group**: P2/m
**Formation energy (no corrections)**: -13.030 eV/f.u.
**DOS(E_F)**: 3.1 states/eV per cell
**Total magnetization**: 0.00 μB/atom

Cell: 3.9079 6.8276 8.0269 Å, 106.20 90.00 90.00°
Last column: nearest neighbours and their distance in Å.
Sites, in units of the cell vectors:
1 Rb 0.5000 0.0000 0.5000  6 S 3.32-3.33
2 Rb 0.0000 0.5000 0.5000  6 S 3.25
3 Ho 0.0000 0.0000 0.0000  6 S 2.74-2.76
4 Zr 0.5000 0.5000 0.0000  6 S 2.65-2.67
5 S 0.5000 0.2411 0.1927  1 Zr 2.65, 2 Ho 2.74
6 S 0.5000 0.7589 0.8073  1 Zr 2.65, 2 Ho 2.74
7 S 0.0000 0.2794 0.8100  2 Zr 2.67, 1 Ho 2.76
8 S 0.0000 0.7206 0.1900  2 Zr 2.67, 1 Ho 2.76

---

Entry 7:
A plane-wave DFT calculation with PBE-GGA was carried out for a relaxed structure of YZn3GaCu.

Results
**Space group**: Cmcm
**DOS(E_F)**: 4.8 states/eV per cell
**Total magnetization**: 0.00 μB/atom
**Energy relative to the elements**: -151 meV/atom

Cell: 5.8618 6.0572 6.7615 Å, 116.61 90.00 90.00°
Last column: nearest neighbours and their distance in Å.
Sites, in units of the cell vectors:
1 Y 0.7500 0.2940 0.5880  1 Cu 2.68, 2 Ga 3.00
2 Y 0.2500 0.7060 0.4120  1 Cu 2.68, 2 Ga 3.00
3 Zn 0.2500 0.1346 0.2691  1 Cu 2.50, 1 Ga 2.58
4 Zn 0.0000 0.2897 0.0000  2 Cu 2.45, 1 Zn 2.55, 2 Ga 2.67
5 Zn 0.5000 0.7103 0.0000  2 Cu 2.45, 1 Zn 2.55, 2 Ga 2.67
6 Zn 0.5000 0.2897 0.0000  2 Cu 2.45, 1 Zn 2.55, 2 Ga 2.67
7 Zn 0.0000 0.7103 0.0000  2 Cu 2.45, 1 Zn 2.55, 2 Ga 2.67
8 Zn 0.7500 0.8654 0.7309  1 Cu 2.50, 1 Ga 2.58
9 Ga 0.2500 0.3479 0.6959  5 Zn 2.58-2.67
10 Ga 0.7500 0.6521 0.3041  5 Zn 2.58-2.67
11 Cu 0.2500 0.9281 0.8561  5 Zn 2.45-2.50, 1 Y 2.68
12 Cu 0.7500 0.0719 0.1439  5 Zn 2.45-2.50, 1 Y 2.68

---

Entry 8:
A plane-wave DFT calculation with PBE-GGA was carried out for a relaxed structure of Cs2K5Sn4.

Results
**Space group**: C2/m
**DOS(E_F)**: 7.6 states/eV per cell
**Total magnetization**: 0.00 μB/atom
**Energy relative to the elements**: -121 meV/atom

Cell: 7.8967 9.2962 10.3239 Å, 66.21 67.51 64.87°
Last column: nearest neighbours and their distance in Å.
Sites, in units of the cell vectors:
1 Cs 0.2593 0.8777 0.6038  4 Sn 4.03-4.33
2 Cs 0.7407 0.1223 0.3962  4 Sn 4.03-4.33
3 K 0.1409 0.3252 0.9027  4 Sn 3.50-3.71, 2 K 3.87-3.91
4 K 0.8591 0.6748 0.0973  4 Sn 3.50-3.71, 2 K 3.87-3.91
5 K 0.0000 0.5000 0.5000  2 Sn 3.45
6 K 0.6312 0.3252 0.9027  4 Sn 3.50-3.71, 2 K 3.87-3.91
7 K 0.3688 0.6748 0.0973  4 Sn 3.50-3.71, 2 K 3.87-3.91
8 Sn 0.4226 0.9915 0.1633  2 Sn 2.83-3.08
9 Sn 0.5774 0.0085 0.8367  2 Sn 2.83-3.08
10 Sn 0.7649 0.7053 0.7648  1 Sn 2.83
11 Sn 0.2351 0.2947 0.2352  1 Sn 2.83

---

Entry 9:
A plane-wave DFT calculation with PBE-GGA was carried out for a relaxed structure of NaTa4MnN8.

Results
**Space group**: R3m
**Formation energy (no corrections)**: -10.267 eV/f.u.
**DOS(E_F)**: 3.7 states/eV per cell
**Total magnetization**: 0.24 μB/atom

Cell: 6.3131 6.3131 6.2051 Å, 59.42 59.42 60.00°
Last column: nearest neighbours and their distance in Å.
Sites, in units of the cell vectors:
1 Na 0.3803 0.3803 0.8592  4 N 2.17-2.19
2 Ta 0.6235 0.6235 0.1296  4 N 1.98-1.99
3 Ta 0.0063 0.4807 0.5068  6 N 2.00-2.23
4 Ta 0.4807 0.0063 0.5068  6 N 2.00-2.23
5 Ta 0.0063 0.0063 0.5068  6 N 2.00-2.23
6 Mn 0.0040 0.0040 0.9880  6 N 2.00-2.22
7 N 0.2301 0.8056 0.7343  2 Ta 2.00, 1 Mn 2.00, 1 Na 2.19
8 N 0.8056 0.2301 0.7343  2 Ta 2.00, 1 Mn 2.00, 1 Na 2.19
9 N 0.2301 0.2301 0.7343  2 Ta 2.00, 1 Mn 2.00, 1 Na 2.19
10 N 0.2363 0.2363 0.2910  3 Ta 2.04, 1 Na 2.17
11 N 0.7533 0.2355 0.2579  3 Ta 1.99-2.23, 1 Mn 2.22
12 N 0.2355 0.7533 0.2579  3 Ta 1.99-2.23, 1 Mn 2.22
13 N 0.7533 0.7533 0.2579  3 Ta 1.99-2.23, 1 Mn 2.22
14 N 0.7549 0.7549 0.7354  1 Ta 1.98

---

Entry 10:
A plane-wave DFT calculation with PBE-GGA was carried out for a relaxed structure of HfGaPd3.

Results
**Space group**: Pmmn
**DOS(E_F)**: 5.2 states/eV per cell
**Total magnetization**: 0.00 μB/atom
**Energy relative to the elements**: -633 meV/atom

Cell: 4.4989 5.5385 6.9130 Å, 90.00 90.00 90.00°
Last column: nearest neighbours and their distance in Å.
Sites, in units of the cell vectors:
1 Hf 0.7500 0.2500 0.1502  8 Pd 2.76-2.81
2 Hf 0.2500 0.7500 0.8498  8 Pd 2.76-2.81
3 Ga 0.7500 0.7500 0.4365  3 Pd 2.46-2.50
4 Ga 0.2500 0.2500 0.5635  3 Pd 2.46-2.50
5 Pd 0.7500 0.7500 0.0808  1 Ga 2.46
6 Pd 0.2500 0.2500 0.9192  1 Ga 2.46
7 Pd 0.7500 0.0096 0.7330  1 Ga 2.50, 2 Pd 2.66-2.80, 2 Hf 2.79
8 Pd 0.7500 0.4904 0.7330  1 Ga 2.50, 2 Pd 2.66-2.80, 2 Hf 2.79
9 Pd 0.2500 0.9904 0.2670  1 Ga 2.50, 2 Pd 2.66-2.80, 2 Hf 2.79
10 Pd 0.2500 0.5096 0.2670  1 Ga 2.50, 2 Pd 2.66-2.80, 2 Hf 2.79

---

Entry 11:
A plane-wave DFT calculation with PBE-GGA was carried out for a relaxed structure of NbNi7Pt2.

Results
**Space group**: Cmmm
**DOS(E_F)**: 16.5 states/eV per cell
**Total magnetization**: 0.43 μB/atom
**Energy relative to the elements**: 199 meV/atom

Cell: 2.6104 7.8867 7.8865 Å, 118.13 90.00 90.00°
Last column: nearest neighbours and their distance in Å.
Sites, in units of the cell vectors:
1 Nb 0.0000 0.0000 0.0000  2 Nb 2.61, 8 Ni 2.73, 4 Pt 2.92
2 Ni 0.0000 0.6500 0.3500  8 Ni 2.41-2.61, 2 Pt 2.49
3 Ni 0.0000 0.3500 0.6500  8 Ni 2.41-2.61, 2 Pt 2.49
4 Ni 0.5000 0.1613 0.3441  6 Ni 2.36-2.61, 1 Pt 2.47
5 Ni 0.5000 0.8387 0.6559  6 Ni 2.36-2.61, 1 Pt 2.47
6 Ni 0.5000 0.3441 0.1613  6 Ni 2.36-2.61, 1 Pt 2.47
7 Ni 0.5000 0.6559 0.8387  6 Ni 2.36-2.61, 1 Pt 2.47
8 Ni 0.5000 0.5000 0.5000  10 Ni 2.36-2.61
9 Pt 0.5000 0.8071 0.1930  4 Ni 2.47-2.49, 2 Pt 2.61
10 Pt 0.5000 0.1929 0.8070  4 Ni 2.47-2.49, 2 Pt 2.61

---

Entry 12:
A plane-wave DFT calculation with PBE-GGA was carried out for a relaxed structure of La2SbIr.

Results
**Space group**: Amm2
**Formation energy (no corrections)**: -3.556 eV/f.u.
**DOS(E_F)**: 1.5 states/eV per cell
**Total magnetization**: 0.00 μB/atom

Cell: 4.3978 4.3737 6.2467 Å, 69.50 90.00 90.00°
Last column: nearest neighbours and their distance in Å.
Sites, in units of the cell vectors:
1 Ir 0.5000 0.5278 0.8198  5 La 2.90-3.13, 2 Sb 2.99
2 La 0.0000 0.9913 0.8922  4 Ir 3.13, 3 Sb 3.28-3.40
3 La 0.5000 0.2801 0.3146  1 Ir 2.90, 4 Sb 3.24
4 Sb 0.0000 0.7007 0.4734  2 Ir 2.99, 6 La 3.24-3.28

---

| no. | electronic total energy (eV/atom) |
| --- | --- |
| 1 | -4.3612 |
| 2 | -2.4137 |
| 3 | -3.5592 |
| 4 | -6.8954 |
| 5 | -5.1751 |
| 6 | -5.5751 |
| 7 | -3.0529 |
| 8 | -2.2304 |
| 9 | -9.6264 |
| 10 | -6.3445 |
| 11 | -6.0628 |
| 12 | -6.5986 |